1.
Density functional theory data (PBE) for an optimized crystal structure of TbPm3Pr3Te8.

Geometry as POSCAR:
```
TbPm3Pr3Te8
1.0
4.472 2.582 7.331
-4.472 2.582 7.331
0.000 -5.163 7.331
Tb Pm Pr Te
1 3 3 8
Direct
0.000 0.000 0.000
0.000 0.500 0.500
0.500 0.000 0.500
0.500 0.500 0.000
0.000 0.000 0.500
0.000 0.500 0.000
0.500 0.000 0.000
0.250 0.250 0.747
0.250 0.747 0.250
0.252 0.252 0.252
0.253 0.750 0.750
0.747 0.250 0.250
0.748 0.748 0.748
0.750 0.253 0.750
0.750 0.750 0.253
```

Summary:
ΔE_f (raw): -2101 kJ/mol of formula units
crystal system: trigonal

2.
Density functional theory data (PBE) for an optimized crystal structure of TbPm3Pr2Te6.

Geometry as POSCAR:
```
TbPm3Pr2Te6
1.0
9.735 -2.224 0.000
9.735 2.224 0.000
-2.007 0.000 8.769
Tb Pm Pr Te
1 3 2 6
Direct
0.000 0.000 0.000
0.000 0.000 0.500
0.329 0.329 0.166
0.671 0.671 0.834
0.331 0.331 0.664
0.669 0.669 0.336
0.162 0.162 0.077
0.164 0.164 0.586
0.498 0.498 0.243
0.502 0.502 0.757
0.836 0.836 0.414
0.838 0.838 0.923
```

Summary:
ΔE_f (raw): -1623 kJ/mol of formula units
crystal system: monoclinic

3.
Density functional theory data (PBE) for an optimized crystal structure of Tb5PmPr2Th.

Geometry as POSCAR:
```
Tb5PmPr2Th
1.0
2.845 -10.142 0.000
2.845 10.142 0.000
0.000 0.000 10.555
Tb Pm Pr Th
10 2 4 2
Direct
0.017 0.983 0.500
0.277 0.723 0.793
0.298 0.702 0.186
0.389 0.611 0.501
0.479 0.521 0.216
0.521 0.479 0.716
0.611 0.389 0.001
0.702 0.298 0.686
0.723 0.277 0.293
0.983 0.017 0.000
0.411 0.589 0.928
0.589 0.411 0.428
0.115 0.885 0.797
0.117 0.883 0.206
0.883 0.117 0.706
0.885 0.115 0.297
0.201 0.799 0.491
0.799 0.201 0.991
```

Summary:
formation energy from the elements: 0.16 eV per atom
crystal system: orthorhombic

4.
Density functional theory data (PBE) for an optimized crystal structure of Tb5PmPrTh2.

Geometry as POSCAR:
```
Tb5PmPrTh2
1.0
-4.429 4.429 7.757
4.429 -4.429 7.757
4.429 4.429 -7.757
Tb Pm Pr Th
10 2 2 4
Direct
0.000 0.000 0.000
0.069 0.569 0.913
0.157 0.069 0.500
0.343 0.843 0.913
0.431 0.343 0.500
0.500 0.500 0.000
0.569 0.657 0.500
0.657 0.157 0.087
0.843 0.931 0.500
0.931 0.431 0.087
0.250 0.250 0.000
0.750 0.750 0.000
0.250 0.750 0.500
0.750 0.250 0.500
0.119 0.381 0.500
0.381 0.881 0.262
0.619 0.119 0.738
0.881 0.619 0.500
```

Summary:
formation energy from the elements: 0.31 eV per atom
crystal system: tetragonal

5.
Density functional theory data (PBE) for an optimized crystal structure of TbPmPrTh.

Geometry as POSCAR:
```
TbPmPrTh
1.0
0.000 4.070 4.070
4.070 0.000 4.070
4.070 4.070 0.000
Tb Pm Pr Th
1 1 1 1
Direct
0.000 0.000 0.000
0.500 0.500 0.500
0.250 0.250 0.250
0.750 0.750 0.750
```

Summary:
formation energy from the elements: 0.17 eV per atom
crystal system: cubic
relative energy among the computed polymorphs: 0.144 eV per atom

6.
Density functional theory data (PBE) for an optimized crystal structure of TbPm4Pr2Th.

Geometry as POSCAR:
```
TbPm4Pr2Th
1.0
6.092 0.000 0.000
0.000 6.100 0.000
-0.018 0.000 7.351
Tb Pm Pr Th
1 4 2 1
Direct
0.000 0.000 0.000
0.000 0.500 0.254
0.000 0.500 0.746
0.500 0.000 0.254
0.500 0.000 0.746
0.000 0.000 0.500
0.500 0.500 0.000
0.500 0.500 0.500
```

Summary:
formation energy from the elements: 0.13 eV per atom
crystal system: monoclinic

no.,calculated volume (Å³/atom)
1,33.853
2,31.643
3,33.838
4,33.818
5,33.699
6,34.145